This record from Alexandria describes crystalline NaAs3H at its relaxed geometry. The functional is PBE-GGA.

It has space group Pm-3m (No. 221), with a = 5.044 Å, b = 5.044 Å, c = 5.044 Å, α = 90.00°, β = 90.00° and γ = 90.00°. The distinct sites, in fractional coordinates, are Na at (0.000, 0.000, 0.000), As at (0.000, 0.000, 0.500) and H at (0.500, 0.500, 0.500).

Its density of states at the Fermi level is 0.68 states/eV/atom. The value obtained for the total energy is -2.225 eV per atom.

***

This record from Alexandria describes crystalline CeDy4HoEr2 at its relaxed geometry. The functional is PBE-GGA.

It has space group Pmmm (No. 47), with a = 4.982 Å, b = 4.993 Å, c = 9.982 Å, α = 90.00°, β = 90.00° and γ = 90.00°. The distinct sites, in fractional coordinates, are Ce at (0.000, 0.000, 0.000), Dy at (0.000, 0.500, 0.249), Dy at (0.500, 0.000, 0.249), Ho at (0.500, 0.500, 0.500), Er at (0.000, 0.000, 0.500) and Er at (0.500, 0.500, 0.000).

Its density of states at the Fermi level is 1.54 states/eV/atom. The formation energy is 0.04 eV/atom.

***

This record from Alexandria describes crystalline PmEr5N6 at its relaxed geometry. The functional is PBE-GGA.

It has space group C2/m (No. 12), with a = 5.995 Å, b = 10.384 Å, c = 5.992 Å, α = 90.00°, β = 109.46° and γ = 90.00°. The distinct sites, in fractional coordinates, are Pm at (0.000, 0.000, 0.000), Er at (0.000, 0.168, 0.500), Er at (0.000, 0.333, 0.000), Er at (0.000, 0.500, 0.500), N at (0.244, 0.500, 0.254) and N at (0.245, 0.330, 0.746).

Its density of states at the Fermi level is 0.02 states/eV/atom. The uncorrected formation energy comes out at -1.710 eV per atom.

***

This record from Alexandria describes crystalline BeCuAg2 at its relaxed geometry. The functional is PBE-GGA.

It has space group Cmmm (No. 65), with a = 5.903 Å, b = 6.755 Å, c = 2.844 Å, α = 90.00°, β = 90.00° and γ = 90.00°. The distinct sites, in fractional coordinates, are Be at (0.000, 0.000, 0.000), Cu at (0.000, 0.500, 0.000) and Ag at (0.250, 0.250, 0.500).

Its density of states at the Fermi level is 0.25 states/eV/atom. The formation energy is 0.19 eV/atom.